Density functional theory data (GGA-PBE) for an optimized crystal structure of Ge2PSe6.

Results
Fermi-level density of states (states/eV/atom): 0.20
Total DFT energy (no corrections) (eV/atom): -4.054
Energy relative to the elements, uncorrected (eV/atom): -0.10

Lattice parameters (Å, degrees): 6.1915 9.6733 9.6733 88.77 71.33 71.33
Last column: nearest neighbours and their distance in Å.
Positions (direct):
Se: 0.5975 0.0702 0.7416  1 P 2.26, 1 Ge 2.52
Se: 0.6612 0.6595 0.8369  2 Ge 2.43-2.47
Se: 0.4097 0.4275 0.7606  1 P 2.26, 1 Ge 2.52
Se: 0.4025 0.9298 0.2584  1 P 2.26, 1 Ge 2.52
Se: 0.0975 0.7416 0.0702  1 P 2.26, 1 Ge 2.52
Se: 0.9025 0.2584 0.9298  1 P 2.26, 1 Ge 2.52
Se: 0.8388 0.1631 0.3405  2 Ge 2.43-2.47
Se: 0.0903 0.2394 0.5725  1 P 2.26, 1 Ge 2.52
Se: 0.1612 0.8369 0.6595  2 Ge 2.43-2.47
Se: 0.9097 0.7606 0.4275  1 P 2.26, 1 Ge 2.52
Se: 0.3388 0.3405 0.1631  2 Ge 2.43-2.47
Se: 0.5903 0.5725 0.2394  1 P 2.26, 1 Ge 2.52
P: 0.2500 0.2488 0.7512  4 Se 2.26
P: 0.7500 0.7512 0.2488  4 Se 2.26
Ge: 0.9402 0.3360 0.1656  4 Se 2.43-2.52
Ge: 0.4402 0.1656 0.3360  4 Se 2.43-2.52
Ge: 0.5598 0.8344 0.6640  4 Se 2.43-2.52
Ge: 0.0598 0.6640 0.8344  4 Se 2.43-2.52